(1)
The following is a GGA-PBE calculation of crystalline Cs2Tm2ZrSe6 at its relaxed geometry, from Alexandria.

```
Cs2Tm2ZrSe6
1.0
7.027 -0.013 0.051
-3.484 6.102 0.051
-1.273 -2.188 8.544
Cs Se Tm Zr
2 6 2 1
Cartesian
5.252 1.020 0.051
-1.710 5.070 0.051
4.027 3.050 2.805
-1.758 0.851 5.840
1.609 -1.108 5.840
0.661 5.009 2.805
1.753 3.014 5.883
0.516 0.887 2.762
2.892 0.928 4.323
-0.623 2.973 4.323
-0.637 -1.094 4.272
```

Values from the calculation:
magnetization	0.0000	μB per atom
VASP energy	-58.2	eV per cell

---

(2)
The following is a GGA-PBE calculation of crystalline Cs3Tm2ZrSe6 at its relaxed geometry, from Alexandria.

```
Cs3Tm2ZrSe6
1.0
-7.006 -0.607 1.362
3.905 -5.850 -1.357
2.692 1.364 8.170
Cs Se Zr Tm
3 6 1 2
Cartesian
-3.821 -0.809 4.989
-0.205 -2.547 4.088
3.412 -4.284 3.187
1.380 -0.586 6.666
1.571 -2.043 1.058
-1.970 -0.342 1.941
1.560 -4.751 6.235
-1.790 -4.507 1.509
-1.981 -3.050 7.118
0.000 0.000 0.000
0.266 -4.101 -0.450
-3.367 -2.356 0.455
```

Values from the calculation:
magnetization	0.0046	μB per atom
VASP energy	-59.5	eV per cell

---

(3)
The following is a GGA-PBE calculation of crystalline CsU4Se8 at its relaxed geometry, from Alexandria.

```
CsU4Se8
1.0
8.263 0.000 0.000
4.131 7.156 0.000
4.131 2.385 8.926
U Se Cs
4 8 1
Cartesian
6.197 3.578 0.000
2.066 3.578 0.000
4.131 0.000 0.000
0.000 0.000 0.000
4.131 2.385 1.547
6.196 5.963 1.566
8.263 2.384 1.566
8.263 7.156 7.360
12.394 7.156 7.379
10.329 5.963 1.566
6.196 3.577 7.360
10.329 3.577 7.360
8.263 4.770 4.463
```

Values from the calculation:
magnetization	0.6923	μB per atom
VASP energy	-89.7	eV per cell
energy above the lowest structure with this stoichiometry	0	meV/atom

---

(4)
The following is a GGA-PBE calculation of crystalline CsUSe3 at its relaxed geometry, from Alexandria.

```
CsUSe3
1.0
5.508 0.000 0.000
0.000 5.508 0.000
0.000 0.000 5.508
U Se Cs
1 3 1
Cartesian
0.000 0.000 0.000
0.000 2.754 0.000
0.000 0.000 2.754
2.754 0.000 0.000
2.754 2.754 2.754
```

Values from the calculation:
magnetization	0.1991	μB per atom
VASP energy	-28.6	eV per cell
energy above the lowest structure with this stoichiometry	0	meV/atom

---

(5)
The following is a GGA-PBE calculation of crystalline Cs5USe5 at its relaxed geometry, from Alexandria.

```
Cs5USe5
1.0
6.514 0.000 0.000
-3.257 8.227 -0.171
0.000 -3.277 9.113
Se Cs U
5 5 1
Cartesian
3.257 3.771 6.453
0.000 1.179 2.489
3.257 5.753 0.976
0.000 -0.803 7.966
3.257 0.000 0.000
0.000 -1.638 4.557
0.000 4.886 1.463
0.000 2.625 6.305
3.257 2.326 2.638
3.257 0.064 7.479
0.000 0.000 0.000
```

Values from the calculation:
magnetization	0.0909	μB per atom
VASP energy	-45.4	eV per cell

---

(6)
The following is a GGA-PBE calculation of crystalline CsU4Se8 at its relaxed geometry, from Alexandria.

```
CsU4Se8
1.0
4.121 0.000 0.893
1.860 9.747 1.370
-0.135 0.101 10.581
Se U Cs
8 4 1
Cartesian
2.461 3.215 8.553
3.529 6.659 3.625
5.304 9.668 5.388
2.037 6.505 10.511
3.953 3.370 1.667
0.687 0.210 6.789
4.831 6.565 7.571
1.158 3.317 4.612
1.654 4.945 2.324
4.337 4.929 9.854
3.003 8.100 6.054
2.988 1.778 6.122
2.001 0.101 10.677
```

Values from the calculation:
magnetization	0.0045	μB per atom
VASP energy	-89.0	eV per cell
energy above the lowest structure with this stoichiometry	58	meV/atom

---

(7)
The following is a GGA-PBE calculation of crystalline CsU2Se4 at its relaxed geometry, from Alexandria.

```
CsU2Se4
1.0
-1.832 1.235 -3.615
-5.362 -2.676 4.285
-2.156 13.398 5.670
Se U Cs
8 4 2
Cartesian
-4.927 11.041 6.269
-0.916 0.618 -1.808
-1.994 7.317 1.028
-7.625 8.997 4.455
-5.058 4.863 1.742
-4.423 0.916 0.071
-4.292 7.094 4.599
-1.725 2.961 1.886
-1.813 0.302 1.022
-2.617 5.298 3.136
-6.732 6.659 3.204
-7.536 11.655 5.318
-5.497 1.724 3.374
-3.853 10.233 2.966
```

Values from the calculation:
magnetization	0.7147	μB per atom
VASP energy	-91.2	eV per cell
energy above the lowest structure with this stoichiometry	63	meV/atom

---

(8)
The following is a GGA-PBE calculation of crystalline Cs2U3Se6 at its relaxed geometry, from Alexandria.

```
Cs2U3Se6
1.0
-0.633 6.070 -3.913
-6.570 2.655 -1.534
-0.006 6.725 5.952
Se U Cs
6 3 2
Cartesian
-4.635 9.654 2.290
-4.976 8.705 -3.599
-2.234 6.746 4.105
-2.574 5.796 -1.784
-0.466 9.906 2.007
-0.173 2.889 0.032
-4.806 5.817 -3.631
0.000 0.000 0.000
-2.397 2.909 -1.816
-2.719 9.306 -0.796
-4.490 6.144 1.301
```

Values from the calculation:
magnetization	0.7273	μB per atom
VASP energy	-70.2	eV per cell
energy above the lowest structure with this stoichiometry	0	meV/atom